No. 1
Y2Tl4S5 | PBE-GGA | optimized geometry

As for the volume: 1052.8 Å³/cell. Its formation energy (no corrections) is -0.98 eV/atom. The total moment is 0.000 μB/f.u.

It has space group R-3m (No. 166, hexagonal axes), with a = 4.0703 Å, b = 4.0703 Å, c = 73.3770 Å, α = 90.00°, β = 90.00° and γ = 120.00°. Symmetry generates all atoms from Y at (0.0000, 0.0000, 0.1427), Tl at (0.0000, 0.0000, 0.3113), Tl at (0.0000, 0.0000, 0.4113), S at (0.0000, 0.0000, 0.2075), S at (0.0000, 0.0000, 0.3763) and S at (0.0000, 0.0000, 0.5000).



No. 2
LuPaTcPt | PBE-GGA | optimized geometry

As for the volume: 325.7 Å³/cell. The calculation puts the energy of formation at -0.573 eV per atom. The total moment is 0.000 μB/f.u.

It has space group F-43m (No. 216), with a = 6.8803 Å, b = 6.8803 Å, c = 6.8803 Å, α = 90.00°, β = 90.00° and γ = 90.00°. Symmetry generates all atoms from Lu at (0.0000, 0.0000, 0.0000), Pa at (0.0000, 0.0000, 0.5000), Tc at (0.2500, 0.2500, 0.2500) and Pt at (0.2500, 0.2500, 0.7500).